{"formula": "Tb6Sm3Dy2Pu", "functional": "PBE-GGA", "state": "relaxed", "e_form_ev_per_atom": 0.04, "spacegroup": "C2/m (12)", "cell": [[3.085, -5.346, 0.000], [3.085, 5.346, 0.000], [-2.068, 0.000, 11.587]], "species": ["Tb", "Tb", "Tb", "Tb", "Tb", "Tb", "Sm", "Sm", "Sm", "Dy", "Dy", "Pu"], "frac_coords": [[0.082, 0.411, 0.246], [0.248, 0.248, 0.754], [0.411, 0.082, 0.246], [0.589, 0.918, 0.754], [0.752, 0.752, 0.246], [0.918, 0.589, 0.754], [0.167, 0.833, 0.500], [0.500, 0.500, 0.500], [0.833, 0.167, 0.500], [0.333, 0.667, 0.000], [0.667, 0.333, 0.000], [0.000, 0.000, 0.000]]}

***

{"formula": "Sm3DyPu2Te6", "functional": "PBE-GGA", "state": "relaxed", "raw_formation_energy_ev_per_atom": -1.29, "spacegroup": "C2/m (12)", "cell": [[9.656, -2.203, 0.000], [9.656, 2.203, 0.000], [-2.097, 0.000, 8.631]], "species": ["Sm", "Sm", "Sm", "Dy", "Pu", "Pu", "Te", "Te", "Te", "Te", "Te", "Te"], "frac_coords": [[0.000, 0.000, 0.000], [0.332, 0.332, 0.666], [0.668, 0.668, 0.334], [0.000, 0.000, 0.500], [0.334, 0.334, 0.167], [0.666, 0.666, 0.833], [0.164, 0.164, 0.584], [0.167, 0.167, 0.082], [0.500, 0.500, 0.255], [0.500, 0.500, 0.745], [0.833, 0.833, 0.918], [0.836, 0.836, 0.416]]}

***

{"formula": "Sm4Dy3PuTe8", "functional": "PBE-GGA", "state": "relaxed", "raw_formation_energy_ev_per_atom": -1.32, "spacegroup": "R-3m (166)", "cell": [[4.397, 2.539, 7.233], [-4.397, 2.539, 7.233], [0.000, -5.078, 7.233]], "species": ["Sm", "Sm", "Sm", "Sm", "Dy", "Dy", "Dy", "Pu", "Te", "Te", "Te", "Te", "Te", "Te", "Te", "Te"], "frac_coords": [[0.000, 0.000, 0.000], [0.000, 0.500, 0.500], [0.500, 0.000, 0.500], [0.500, 0.500, 0.000], [0.000, 0.000, 0.500], [0.000, 0.500, 0.000], [0.500, 0.000, 0.000], [0.500, 0.500, 0.500], [0.246, 0.749, 0.749], [0.247, 0.247, 0.247], [0.251, 0.251, 0.754], [0.251, 0.754, 0.251], [0.749, 0.246, 0.749], [0.749, 0.749, 0.246], [0.753, 0.753, 0.753], [0.754, 0.251, 0.251]]}

***

no.,volume (A^3/atom)
1,31.85
2,30.59
3,30.28